1.
DFT (meta-GGA SCAN) results for Zr3CrRh at its PBEsol-relaxed geometry.

Unit cell a=4.9326 b=4.9326 c=4.9326 alpha=90.00 beta=90.00 gamma=90.00
Closest atoms and distances in Å follow each position.
Fractional coordinates of all 5 atoms:
Zr 0.0000 0.0000 0.5000  2 Rh 2.47
Zr 0.0000 0.5000 0.0000  2 Rh 2.47
Zr 0.5000 0.0000 0.0000  2 Rh 2.47
Cr 0.5000 0.5000 0.5000  12 Zr 3.49
Rh 0.0000 0.0000 0.0000  6 Zr 2.47

The uncorrected energy comes out at -28.56 eV per atom. For the total magnetization, the calculation gives 4.31 μB/cell. Its crystal system is cubic.

=====

2.
DFT (meta-GGA SCAN) results for K2CdAu at its PBEsol-relaxed geometry.

Unit cell a=4.7859 b=6.5249 c=6.5249 alpha=43.11 beta=90.00 gamma=90.00
Closest atoms and distances in Å follow each position.
Fractional coordinates of all 4 atoms:
K 0.0000 0.0000 0.0000  3 Au 3.46-3.57, 4 Cd 3.57
K 0.5000 0.2949 0.2949  3 Cd 3.43-3.62, 4 Au 3.56
Cd 0.5000 0.5932 0.5932  2 Au 2.75
Au 0.0000 0.7056 0.7056  2 Cd 2.75

The uncorrected energy comes out at -29.34 eV per atom. For the total magnetization, the calculation gives 0.00 μB/cell. Its crystal system is orthorhombic.

=====

3.
DFT (meta-GGA SCAN) results for AlCu2Se at its PBEsol-relaxed geometry.

Unit cell a=2.8217 b=3.6649 c=5.8362 alpha=90.00 beta=92.97 gamma=90.00
Closest atoms and distances in Å follow each position.
Fractional coordinates of all 4 atoms:
Al 0.0000 0.0000 0.0000  8 Cu 2.57-2.63, 2 Al 2.82
Cu 0.4964 0.5000 0.7955  1 Cu 2.39, 2 Se 2.52, 4 Al 2.57-2.63
Cu 0.5036 0.5000 0.2045  1 Cu 2.39, 2 Se 2.52, 4 Al 2.57-2.63
Se 0.5000 0.0000 0.5000  4 Cu 2.52

The value obtained for the uncorrected formation energy is 0.002 eV/atom. For the total magnetization, the calculation gives 0.00 μB/cell. Its crystal system is monoclinic.

=====

4.
DFT (meta-GGA SCAN) results for MoAs4W at its PBEsol-relaxed geometry.

Unit cell a=5.2212 b=5.2212 c=5.2212 alpha=60.00 beta=60.00 gamma=60.00
Closest atoms and distances in Å follow each position.
Fractional coordinates of all 6 atoms:
Mo 0.0000 0.0000 0.0000  12 As 3.06, 4 W 3.20
As 0.3750 0.3750 0.3750  6 As 2.61
As 0.3750 0.3750 0.8751  6 As 2.61
As 0.3750 0.8751 0.3750  6 As 2.61
As 0.8751 0.3750 0.3750  6 As 2.61
W 0.7500 0.7500 0.7500  12 As 3.06, 4 Mo 3.20

The uncorrected energy comes out at -29.75 eV per atom. For the total magnetization, the calculation gives 0.00 μB/cell. Its crystal system is cubic.

=====

Copy entry 2 word for word.
DFT (meta-GGA SCAN) results for K2CdAu at its PBEsol-relaxed geometry.

Unit cell a=4.7859 b=6.5249 c=6.5249 alpha=43.11 beta=90.00 gamma=90.00
Closest atoms and distances in Å follow each position.
Fractional coordinates of all 4 atoms:
K 0.0000 0.0000 0.0000  3 Au 3.46-3.57, 4 Cd 3.57
K 0.5000 0.2949 0.2949  3 Cd 3.43-3.62, 4 Au 3.56
Cd 0.5000 0.5932 0.5932  2 Au 2.75
Au 0.0000 0.7056 0.7056  2 Cd 2.75

The uncorrected energy comes out at -29.34 eV per atom. For the total magnetization, the calculation gives 0.00 μB/cell. Its crystal system is orthorhombic.